[1]
VASP calculation (PBE) on Sm2AlHg2 after structural relaxation.

Unit cell a=4.5473 b=6.1039 c=10.2576 alpha=87.97 beta=77.19 gamma=68.13
Fractional positions:
Sm1 0.6713 0.3209 0.3364
Sm2 0.9182 0.2681 0.8954
Sm3 0.3287 0.6791 0.6636
Sm4 0.0818 0.7319 0.1046
Al1 0.6179 0.0988 0.6654
Al2 0.3821 0.9012 0.3346
Hg1 0.0911 0.2582 0.5597
Hg2 0.6500 0.8184 0.8817
Hg3 0.9089 0.7418 0.4403
Hg4 0.3500 0.1816 0.1183

space-group type	C2/m (12)
calculated density	9.4	g/cm3
formation enthalpy at 0 K	-432	meV per atom
E_tot	-3.19	eV/atom

[2]
VASP calculation (PBE) on La8GeTe4Se3 after structural relaxation.

Unit cell a=8.8631 b=9.0164 c=8.8630 alpha=119.44 beta=120.00 gamma=90.00
Fractional positions:
La1 0.2394 0.7242 0.9848
La2 0.2394 0.7242 0.4787
La3 0.2586 0.2758 0.5172
La4 0.7455 0.7242 0.9848
La5 0.2545 0.2758 0.0152
La6 0.7414 0.7242 0.4828
La7 0.7606 0.2758 0.5213
La8 0.7606 0.2758 0.0152
Ge1 0.0000 0.5000 0.0000
Te1 0.5000 0.0000 0.0000
Te2 0.5000 0.0000 0.5000
Te3 0.0000 0.0000 0.0000
Te4 0.0000 0.0000 0.5000
Se1 0.5000 0.5000 0.0000
Se2 0.5000 0.5000 0.5000
Se3 0.0000 0.5000 0.5000

space-group type	R-3m (166)
calculated density	6.3	g/cm3
E_tot	-5.88	eV/atom

[3]
VASP calculation (PBE) on BeZnAu after structural relaxation.

Unit cell a=2.8548 b=2.8548 c=6.0665 alpha=90.00 beta=90.00 gamma=120.00
Fractional positions:
Be1 0.3333 0.6667 0.3332
Zn1 0.6667 0.3333 0.6386
Au1 0.0000 0.0000 0.0281

space-group type	P3m1 (156)
calculated density	10.5	g/cm3
formation enthalpy at 0 K	100	meV per atom
offset from the most stable computed form	207	meV per atom
E_tot	-2.66	eV/atom

[4]
VASP calculation (PBE) on NiCS2 after structural relaxation.

Unit cell a=5.8867 b=5.8867 c=5.8867 alpha=35.05 beta=35.05 gamma=35.05
Fractional positions:
Ni1 0.5000 0.5000 0.5000
S1 0.9041 0.9041 0.9041
S2 0.0959 0.0959 0.0959
C1 0.0000 0.0000 0.0000

space-group type	R-3m (166)
calculated density	3.7	g/cm3
E_tot	-5.40	eV/atom

[5]
VASP calculation (PBE) on CdInBrCl2 after structural relaxation.

Unit cell a=5.2130 b=5.2130 c=5.5852 alpha=90.00 beta=90.00 gamma=90.00
Fractional positions:
Cl1 0.0000 0.5000 0.0000
Cl2 0.5000 0.0000 0.0000
Cd1 0.0000 0.0000 0.0000
Br1 0.0000 0.0000 0.5000
In1 0.5000 0.5000 0.5000

space-group type	P4/mmm (123)
calculated density	4.1	g/cm3
offset from the most stable computed form	32	meV per atom
E_tot	-2.65	eV/atom

[6]
VASP calculation (PBE) on BeBiPt3 after structural relaxation.

Unit cell a=4.5539 b=4.5539 c=9.3977 alpha=90.00 beta=90.00 gamma=120.00
Fractional positions:
Be1 0.0000 0.0000 0.0000
Be2 0.0000 0.0000 0.5000
Bi1 0.3333 0.6667 0.7500
Bi2 0.6667 0.3333 0.2500
Pt1 0.0000 0.0000 0.2500
Pt2 0.0000 0.0000 0.7500
Pt3 0.3333 0.6667 0.0655
Pt4 0.3333 0.6667 0.4345
Pt5 0.6667 0.3333 0.5655
Pt6 0.6667 0.3333 0.9345

space-group type	P6_3/mmc (194)
calculated density	15.8	g/cm3
formation enthalpy at 0 K	-84	meV per atom
offset from the most stable computed form	348	meV per atom
E_tot	-5.23	eV/atom

[7]
VASP calculation (PBE) on Y2TmOs after structural relaxation.

Unit cell a=3.4011 b=3.4011 c=9.2178 alpha=90.00 beta=90.00 gamma=90.00
Fractional positions:
Y1 0.0000 0.0000 0.8185
Y2 0.0000 0.0000 0.1815
Tm1 0.5000 0.5000 0.5000
Os1 0.5000 0.5000 0.0000

space-group type	P4/mmm (123)
calculated density	8.4	g/cm3
formation enthalpy at 0 K	-63	meV per atom
offset from the most stable computed form	196	meV per atom
E_tot	-7.22	eV/atom

[8]
VASP calculation (PBE) on NbIr2Os2 after structural relaxation.

Unit cell a=7.5199 b=7.5199 c=2.7753 alpha=90.00 beta=90.00 gamma=90.00
Fractional positions:
Nb1 0.0000 0.0000 0.0000
Nb2 0.5000 0.5000 0.0000
Ir1 0.3760 0.8760 0.0000
Ir2 0.8760 0.6240 0.0000
Ir3 0.6240 0.1240 0.0000
Ir4 0.1240 0.3760 0.0000
Os1 0.1733 0.6733 0.5000
Os2 0.6733 0.8267 0.5000
Os3 0.8267 0.3267 0.5000
Os4 0.3267 0.1733 0.5000

space-group type	P4/mbm (127)
calculated density	18.2	g/cm3
formation enthalpy at 0 K	45	meV per atom
offset from the most stable computed form	5	meV per atom
E_tot	-10.01	eV/atom